DFT (SCAN) results for NiIr2Pt at its PBEsol-relaxed geometry.

## Properties
Energy above the most stable polymorph in this dataset = 37 meV/atom
DOS at the Fermi energy = 7.6 states/eV per cell

a = 8.8032 Å, b = 2.7089 Å, c = 4.6065 Å
α = 90.00°, β = 100.37°, γ = 90.00°
Space group Cm (No. 8)
Asymmetric unit:
Ni 0.0000 0.0000 0.0000 x2
Ir 0.0050 0.5000 0.5163 x2
Ir 0.2532 0.0000 0.7442 x2
Pt 0.2505 0.5000 0.2393 x2